No. 1
# Na2Cd2Pd PBE-GGA relaxed
# relative energy among the computed polymorphs = 341 meV per atom
# size of the total moment = 0.000 μB per formula unit
# raw total energy = -8.9 eV/f.u.
# formation energy = 158 meV per atom
# density = 5.46 g cm⁻³
data_Na2Cd2Pd
_cell_length_a 8.210
_cell_length_b 8.210
_cell_length_c 8.210
_cell_angle_alpha 152.90
_cell_angle_beta 152.90
_cell_angle_gamma 38.70
_symmetry_space_group_name_H-M 'P 1'
_symmetry_Int_Tables_number 1
loop_
_symmetry_equiv_pos_as_xyz
'x,y,z'
loop_
_atom_site_label
_atom_site_fract_x
_atom_site_fract_y
_atom_site_fract_z
Na1 0.250 0.750 0.500
Na2 0.750 0.250 0.500
Cd1 0.089 0.089 0.000
Cd2 0.911 0.911 0.000
Pd1 0.500 0.500 0.000

***

No. 2
# Na2Cd2Pd PBE-GGA relaxed
# relative energy among the computed polymorphs = 14 meV per atom
# size of the total moment = 0.000 μB per formula unit
# raw total energy = -10.5 eV/f.u.
# formation energy = -169 meV per atom
# density = 5.36 g cm⁻³
data_Na2Cd2Pd
_cell_length_a 5.546
_cell_length_b 5.546
_cell_length_c 10.614
_cell_angle_alpha 104.50
_cell_angle_beta 104.50
_cell_angle_gamma 48.13
_symmetry_space_group_name_H-M 'P 1'
_symmetry_Int_Tables_number 1
loop_
_symmetry_equiv_pos_as_xyz
'x,y,z'
loop_
_atom_site_label
_atom_site_fract_x
_atom_site_fract_y
_atom_site_fract_z
Na1 0.006 0.006 0.156
Na2 0.367 0.367 0.310
Na3 0.633 0.633 0.690
Na4 0.994 0.994 0.844
Cd1 0.131 0.131 0.458
Cd2 0.324 0.324 0.948
Cd3 0.676 0.676 0.052
Cd4 0.869 0.869 0.542
Pd1 0.336 0.336 0.691
Pd2 0.664 0.664 0.309

***

No. 3
# NaCd4Pd15 PBE-GGA relaxed
# size of the total moment = 0.001 μB per formula unit
# raw total energy = -86.7 eV/f.u.
# formation energy = -190 meV per atom
# density = 10.51 g cm⁻³
data_NaCd4Pd15
_cell_length_a 4.042
_cell_length_b 4.042
_cell_length_c 20.017
_cell_angle_alpha 90.00
_cell_angle_beta 90.00
_cell_angle_gamma 90.00
_symmetry_space_group_name_H-M 'P 1'
_symmetry_Int_Tables_number 1
loop_
_symmetry_equiv_pos_as_xyz
'x,y,z'
loop_
_atom_site_label
_atom_site_fract_x
_atom_site_fract_y
_atom_site_fract_z
Na1 0.000 0.000 0.000
Cd1 0.000 0.000 0.200
Cd2 0.000 0.000 0.400
Cd3 0.000 0.000 0.600
Cd4 0.000 0.000 0.800
Pd1 0.000 0.500 0.100
Pd2 0.000 0.500 0.300
Pd3 0.000 0.500 0.500
Pd4 0.000 0.500 0.700
Pd5 0.000 0.500 0.900
Pd6 0.500 0.000 0.100
Pd7 0.500 0.000 0.300
Pd8 0.500 0.000 0.500
Pd9 0.500 0.000 0.700
Pd10 0.500 0.000 0.900
Pd11 0.500 0.500 0.000
Pd12 0.500 0.500 0.199
Pd13 0.500 0.500 0.400
Pd14 0.500 0.500 0.600
Pd15 0.500 0.500 0.801

***

What did the second record say?
# Na2Cd2Pd PBE-GGA relaxed
# relative energy among the computed polymorphs = 14 meV per atom
# size of the total moment = 0.000 μB per formula unit
# raw total energy = -10.5 eV/f.u.
# formation energy = -169 meV per atom
# density = 5.36 g cm⁻³
data_Na2Cd2Pd
_cell_length_a 5.546
_cell_length_b 5.546
_cell_length_c 10.614
_cell_angle_alpha 104.50
_cell_angle_beta 104.50
_cell_angle_gamma 48.13
_symmetry_space_group_name_H-M 'P 1'
_symmetry_Int_Tables_number 1
loop_
_symmetry_equiv_pos_as_xyz
'x,y,z'
loop_
_atom_site_label
_atom_site_fract_x
_atom_site_fract_y
_atom_site_fract_z
Na1 0.006 0.006 0.156
Na2 0.367 0.367 0.310
Na3 0.633 0.633 0.690
Na4 0.994 0.994 0.844
Cd1 0.131 0.131 0.458
Cd2 0.324 0.324 0.948
Cd3 0.676 0.676 0.052
Cd4 0.869 0.869 0.542
Pd1 0.336 0.336 0.691
Pd2 0.664 0.664 0.309